(1)
First-principles (PBE) data for KCaZr after structural relaxation, as listed in Alexandria via LeMat-Bulk.

Results
- density (g cm⁻³) = 2.64
- DFT formation energy (eV per atom) = 0.81
- calculated volume (Å³/atom) = 35.70
- E_tot (Ry per atom) = -0.2260
- energy above the most stable polymorph in this dataset (eV/f.u.) = 0.72

Cell lengths 6.577, 6.577, 6.577 Å; angles 151.45, 127.44, 60.90 degrees
Last column: magnetic moment on the atom in μB.
Positions (direct):
Ca 0.989 0.989 0.000  0.05
K 0.668 0.668 0.000  0.01
Zr 0.343 0.343 0.000  0.53

(2)
First-principles (PBE) data for KCaZr2 after structural relaxation, as listed in Alexandria via LeMat-Bulk.

Results
- density (g cm⁻³) = 3.61
- DFT formation energy (eV per atom) = 0.97
- calculated volume (Å³/atom) = 30.13
- E_tot (Ry per atom) = -0.3000
- energy above the most stable polymorph in this dataset (eV/f.u.) = 2.54

Cell lengths 4.360, 4.360, 13.050 Å; angles 80.38, 80.38, 90.00 degrees
Last column: magnetic moment on the atom in μB.
Positions (direct):
Ca 0.000 0.000 0.000  0.09
Ca 0.750 0.250 0.500  0.09
K 0.500 0.500 0.000  0.04
K 0.250 0.750 0.500  0.04
Zr 0.631 0.125 0.250  0.39
Zr 0.119 0.625 0.250  0.39
Zr 0.375 0.369 0.750  0.39
Zr 0.875 0.881 0.750  0.39

(3)
First-principles (PBE) data for KCaZr2 after structural relaxation, as listed in Alexandria via LeMat-Bulk.

Results
- density (g cm⁻³) = 3.25
- DFT formation energy (eV per atom) = 0.33
- calculated volume (Å³/atom) = 33.37
- E_tot (Ry per atom) = -0.3466
- energy above the most stable polymorph in this dataset (eV/f.u.) = 0.00

Cell lengths 3.324, 3.324, 12.078 Å; angles 90.00, 90.00, 90.00 degrees
Positions (direct):
Ca 0.000 0.000 0.456
K 0.500 0.500 0.769
Zr 0.000 0.000 0.055
Zr 0.500 0.500 0.220

(4)
First-principles (PBE) data for K2CaZr after structural relaxation, as listed in Alexandria via LeMat-Bulk.

Results
- density (g cm⁻³) = 2.06
- DFT formation energy (eV per atom) = 0.71
- calculated volume (Å³/atom) = 42.32
- E_tot (Ry per atom) = -0.1819
- energy above the most stable polymorph in this dataset (eV/f.u.) = 0.78

Cell lengths 6.362, 6.362, 8.090 Å; angles 86.51, 86.51, 31.19 degrees
Last column: magnetic moment on the atom in μB.
Positions (direct):
Ca 0.241 0.241 0.304  0.04
K 0.999 0.999 0.007  0.01
K 0.755 0.755 0.734  0.01
Zr 0.505 0.505 0.455  0.81

(5)
First-principles (PBE) data for K2CaZr after structural relaxation, as listed in Alexandria via LeMat-Bulk.

Results
- density (g cm⁻³) = 2.11
- DFT formation energy (eV per atom) = 0.74
- calculated volume (Å³/atom) = 41.18
- E_tot (Ry per atom) = -0.1798
- energy above the most stable polymorph in this dataset (eV/f.u.) = 0.89

Cell lengths 3.675, 6.346, 7.063 Å; angles 90.00, 90.00, 90.00 degrees
Last column: magnetic moment on the atom in μB.
Positions (direct):
Ca 0.000 0.500 0.500  0.08
K 0.000 0.000 0.000  0.03
K 0.500 0.500 0.000  0.01
Zr 0.500 0.000 0.500  1.29

(6)
First-principles (PBE) data for K2CaZr after structural relaxation, as listed in Alexandria via LeMat-Bulk.

Results
- density (g cm⁻³) = 2.01
- DFT formation energy (eV per atom) = 0.84
- calculated volume (Å³/atom) = 43.21
- E_tot (Ry per atom) = -0.1728
- energy above the most stable polymorph in this dataset (eV/f.u.) = 1.27

Cell lengths 6.679, 5.087, 5.087 Å; angles 90.00, 90.00, 90.00 degrees
Last column: magnetic moment on the atom in μB.
Positions (direct):
Ca 0.500 0.000 0.500  0.11
K 0.000 0.000 0.000  0.02
K 0.000 0.500 0.500  0.02
Zr 0.500 0.500 0.000  1.52

(7)
First-principles (PBE) data for KCaZr2 after structural relaxation, as listed in Alexandria via LeMat-Bulk.

Results
- density (g cm⁻³) = 3.60
- DFT formation energy (eV per atom) = 0.85
- calculated volume (Å³/atom) = 30.14
- E_tot (Ry per atom) = -0.3089
- energy above the most stable polymorph in this dataset (eV/f.u.) = 2.05

Cell lengths 6.848, 6.848, 3.132 Å; angles 90.00, 90.00, 124.84 degrees
Last column: magnetic moment on the atom in μB.
Positions (direct):
Ca 0.500 0.000 0.500  0.09
K 0.000 0.500 0.500  0.03
Zr 0.000 0.000 0.000  0.41
Zr 0.500 0.500 0.000  0.41

(8)
First-principles (PBE) data for KCa2Zr after structural relaxation, as listed in Alexandria via LeMat-Bulk.

Results
- density (g cm⁻³) = 2.29
- DFT formation energy (eV per atom) = 0.59
- calculated volume (Å³/atom) = 38.09
- E_tot (Ry per atom) = -0.2074
- energy above the most stable polymorph in this dataset (eV/f.u.) = 1.06

Cell lengths 3.544, 5.654, 7.602 Å; angles 90.00, 90.00, 90.00 degrees
Last column: magnetic moment on the atom in μB.
Positions (direct):
Ca 0.000 0.000 0.972  0.06
Ca 0.500 0.500 0.229  0.03
K 0.000 0.000 0.508  0.01
Zr 0.500 0.500 0.791  0.89

(9)
First-principles (PBE) data for CaLa2 after structural relaxation, as listed in Alexandria via LeMat-Bulk.

Results
- density (g cm⁻³) = 4.54
- DFT formation energy (eV per atom) = 0.03
- calculated volume (Å³/atom) = 38.74
- E_tot (Ry per atom) = -0.2885
- energy above the most stable polymorph in this dataset (eV/f.u.) = 0.00

Cell lengths 8.540, 8.540, 8.540 Å; angles 154.39, 154.39, 36.54 degrees
Positions (direct):
Ca 0.000 0.000 0.000
La 0.675 0.675 0.000
La 0.325 0.325 0.000

(10)
First-principles (PBE) data for CaLa2 after structural relaxation, as listed in Alexandria via LeMat-Bulk.

Results
- density (g cm⁻³) = 4.63
- DFT formation energy (eV per atom) = 0.07
- calculated volume (Å³/atom) = 38.03
- E_tot (Ry per atom) = -0.2853
- energy above the most stable polymorph in this dataset (eV/f.u.) = 0.13

Cell lengths 3.669, 5.396, 6.622 Å; angles 114.04, 106.08, 90.00 degrees
Positions (direct):
Ca 0.000 0.000 0.000
La 0.679 0.679 0.359
La 0.321 0.321 0.641

(11)
First-principles (PBE) data for CaLa2 after structural relaxation, as listed in Alexandria via LeMat-Bulk.

Results
- density (g cm⁻³) = 4.39
- DFT formation energy (eV per atom) = 0.32
- calculated volume (Å³/atom) = 40.07
- E_tot (Ry per atom) = -0.2673
- energy above the most stable polymorph in this dataset (eV/f.u.) = 0.87

Cell lengths 8.497, 8.497, 5.768 Å; angles 90.00, 90.00, 120.00 degrees
Positions (direct):
Ca 0.333 0.667 0.000
Ca 0.667 0.333 0.000
Ca 0.000 0.000 0.500
La 0.228 0.000 0.000
La 0.000 0.228 0.000
La 0.772 0.772 0.000
La 0.552 0.000 0.500
La 0.000 0.552 0.500
La 0.448 0.448 0.500

(12)
First-principles (PBE) data for Ca3La4 after structural relaxation, as listed in Alexandria via LeMat-Bulk.

Results
- density (g cm⁻³) = 4.00
- DFT formation energy (eV per atom) = 0.22
- calculated volume (Å³/atom) = 40.08
- E_tot (Ry per atom) = -0.2539
- energy above the most stable polymorph in this dataset (eV/f.u.) = 1.37

Cell lengths 6.670, 6.670, 7.282 Å; angles 90.00, 90.00, 120.00 degrees
Positions (direct):
Ca 0.000 0.500 0.000
Ca 0.500 0.500 0.000
Ca 0.500 0.000 0.000
La 0.000 0.000 0.294
La 0.000 0.000 0.706
La 0.667 0.333 0.500
La 0.333 0.667 0.500